A relaxed Na2CrH6Pd crystal. Source: Alexandria, functional PBE.

The structure in CIF format:
```
data_Na2CrH6Pd
_symmetry_space_group_name_H-M 'C 1 2/m 1'
_symmetry_Int_Tables_number 12
_symmetry_space_group_name_Hall '-C 2y'
_cell_length_a 7.254
_cell_length_b 7.264
_cell_length_c 5.140
_cell_angle_alpha 90.00
_cell_angle_beta 134.79
_cell_angle_gamma 90.00
loop_
_atom_site_label
_atom_site_type_symbol
_atom_site_fract_x
_atom_site_fract_y
_atom_site_fract_z
_atom_site_occupancy
Na1 Na 0.000 0.250 0.000 1
Cr1 Cr 0.000 0.000 0.500 1
H1 H 0.000 0.248 0.500 1
H2 H 0.247 0.000 0.994 1
H3 H 0.249 0.000 0.502 1
Pd1 Pd 0.000 0.500 0.500 1
```

DOS at the Fermi energy	4.68	states/eV per cell
total energy	-3.848	eV per atom